DFT (PBE-GGA) results for a relaxed structure of Be3RhN.

**Formation energy from raw total energies**: -0.277 eV per atom
**Total energy**: -5.649 eV/atom
**Offset from the most stable computed form**: 0 meV per atom
**V**: 44.21 Å³ per cell

```
Be3RhN
1.0
3.536 0.000 0.000
0.000 3.536 0.000
0.000 0.000 3.536
Be Rh N
3 1 1
Direct
0.000 0.000 0.500
0.000 0.500 0.000
0.500 0.000 0.000
0.500 0.500 0.500
0.000 0.000 0.000
```

***

DFT (PBE-GGA) results for a relaxed structure of BeRhN.

**Formation energy from raw total energies**: 0.323 eV per atom
**Total energy**: -6.145 eV/atom
**V**: 73.72 Å³ per cell

```
BeRhN
1.0
-1.493 1.493 8.270
1.493 -1.493 8.270
1.493 1.493 -8.270
Be Rh N
2 2 2
Direct
0.220 0.220 0.000
0.780 0.780 0.000
0.358 0.358 0.000
0.642 0.642 0.000
0.120 0.120 0.000
0.880 0.880 0.000
```

***

DFT (PBE-GGA) results for a relaxed structure of Be3RhN.

**Formation energy from raw total energies**: 1.400 eV per atom
**Total energy**: -3.971 eV/atom
**Offset from the most stable computed form**: 1678 meV per atom
**V**: 67.81 Å³ per cell

```
Be3RhN
1.0
4.078 0.000 0.000
0.000 4.078 0.000
0.000 0.000 4.078
Be Rh N
3 1 1
Direct
0.000 0.000 0.500
0.000 0.500 0.000
0.500 0.000 0.000
0.000 0.000 0.000
0.500 0.500 0.500
```

***

DFT (PBE-GGA) results for a relaxed structure of BeRhS2N.

**Formation energy from raw total energies**: 0.618 eV per atom
**Total energy**: -4.913 eV/atom
**Offset from the most stable computed form**: 0 meV per atom
**V**: 63.28 Å³ per cell

```
BeRhS2N
1.0
4.547 0.000 0.000
0.000 4.547 0.000
0.000 0.000 3.060
Be Rh S N
1 1 2 1
Direct
0.000 0.000 0.000
0.500 0.500 0.500
0.000 0.500 0.000
0.500 0.000 0.000
0.000 0.000 0.500
```

***

DFT (PBE-GGA) results for a relaxed structure of BeRhS2N.

**Formation energy from raw total energies**: 0.838 eV per atom
**Total energy**: -4.694 eV/atom
**Offset from the most stable computed form**: 219 meV per atom
**V**: 84.32 Å³ per cell

```
BeRhS2N
1.0
4.844 0.000 0.000
0.000 4.844 0.000
0.000 0.000 3.593
Be Rh S N
1 1 2 1
Direct
0.000 0.000 0.000
0.500 0.500 0.500
0.000 0.500 0.500
0.500 0.000 0.500
0.500 0.500 0.000
```

***

DFT (PBE-GGA) results for a relaxed structure of BeRhSN2.

**Formation energy from raw total energies**: 1.185 eV per atom
**Total energy**: -5.186 eV/atom
**Offset from the most stable computed form**: 99 meV per atom
**V**: 73.52 Å³ per cell

```
BeRhSN2
1.0
3.702 0.000 0.000
0.000 3.702 0.000
0.000 0.000 5.364
Be Rh S N
1 1 1 2
Direct
0.000 0.000 0.000
0.500 0.500 0.500
0.500 0.500 0.000
0.000 0.500 0.500
0.500 0.000 0.500
```

***

DFT (PBE-GGA) results for a relaxed structure of BeRhSN2.

**Formation energy from raw total energies**: 1.086 eV per atom
**Total energy**: -5.286 eV/atom
**Offset from the most stable computed form**: 0 meV per atom
**V**: 68.47 Å³ per cell

```
BeRhSN2
1.0
3.272 0.000 0.000
0.000 3.272 0.000
0.000 0.000 6.395
Be Rh S N
1 1 1 2
Direct
0.000 0.000 0.000
0.500 0.500 0.500
0.000 0.000 0.500
0.000 0.500 0.000
0.500 0.000 0.000
```

***

DFT (PBE-GGA) results for a relaxed structure of SmBeRhN.

**Formation energy from raw total energies**: -0.994 eV per atom
**Total energy**: -7.025 eV/atom
**V**: 113.17 Å³ per cell

```
SmBeRhN
1.0
3.733 0.000 0.000
0.000 3.733 0.000
0.000 0.000 8.120
Sm Be Rh N
2 2 2 2
Direct
0.250 0.250 0.159
0.750 0.750 0.841
0.250 0.250 0.671
0.750 0.750 0.329
0.250 0.750 0.500
0.750 0.250 0.500
0.250 0.250 0.868
0.750 0.750 0.132
```

***

DFT (PBE-GGA) results for a relaxed structure of TbBeRhN.

**Formation energy from raw total energies**: -1.032 eV per atom
**Total energy**: -7.040 eV/atom
**V**: 109.53 Å³ per cell

```
TbBeRhN
1.0
3.687 0.000 0.000
0.000 3.687 0.000
0.000 0.000 8.055
Tb Be Rh N
2 2 2 2
Direct
0.250 0.250 0.157
0.750 0.750 0.843
0.250 0.250 0.674
0.750 0.750 0.326
0.250 0.750 0.500
0.750 0.250 0.500
0.250 0.250 0.872
0.750 0.750 0.128
```

***

DFT (PBE-GGA) results for a relaxed structure of BeTe2RhN.

**Formation energy from raw total energies**: 0.721 eV per atom
**Total energy**: -4.416 eV/atom
**Offset from the most stable computed form**: 335 meV per atom
**V**: 107.56 Å³ per cell

```
BeTe2RhN
1.0
5.449 0.000 0.000
0.000 5.449 0.000
0.000 0.000 3.622
Be Te Rh N
1 2 1 1
Direct
0.000 0.000 0.000
0.000 0.500 0.500
0.500 0.000 0.500
0.500 0.500 0.500
0.500 0.500 0.000
```

***

DFT (PBE-GGA) results for a relaxed structure of BeTe2RhN.

**Formation energy from raw total energies**: 0.386 eV per atom
**Total energy**: -4.751 eV/atom
**Offset from the most stable computed form**: 0 meV per atom
**V**: 83.57 Å³ per cell

```
BeTe2RhN
1.0
5.227 0.000 0.000
0.000 5.227 0.000
0.000 0.000 3.059
Be Te Rh N
1 2 1 1
Direct
0.000 0.000 0.000
0.000 0.500 0.000
0.500 0.000 0.000
0.500 0.500 0.500
0.000 0.000 0.500
```

***

DFT (PBE-GGA) results for a relaxed structure of BeTeRhN2.

**Formation energy from raw total energies**: 1.126 eV per atom
**Total energy**: -5.048 eV/atom
**Offset from the most stable computed form**: 0 meV per atom
**V**: 83.84 Å³ per cell

```
BeTeRhN2
1.0
3.772 0.000 0.000
0.000 3.772 0.000
0.000 0.000 5.891
Be Te Rh N
1 1 1 2
Direct
0.000 0.000 0.000
0.500 0.500 0.000
0.500 0.500 0.500
0.000 0.500 0.500
0.500 0.000 0.500
```

***

DFT (PBE-GGA) results for a relaxed structure of BeTeRhN2.

**Formation energy from raw total energies**: 1.285 eV per atom
**Total energy**: -4.889 eV/atom
**Offset from the most stable computed form**: 158 meV per atom
**V**: 72.89 Å³ per cell

```
BeTeRhN2
1.0
3.585 0.000 0.000
0.000 3.585 0.000
0.000 0.000 5.671
Be Te Rh N
1 1 1 2
Direct
0.000 0.000 0.000
0.000 0.000 0.500
0.500 0.500 0.500
0.000 0.500 0.000
0.500 0.000 0.000
```

***

DFT (PBE-GGA) results for a relaxed structure of ThBeRhN.

**Formation energy from raw total energies**: -1.091 eV per atom
**Total energy**: -7.796 eV/atom
**V**: 116.37 Å³ per cell

```
ThBeRhN
1.0
3.881 0.000 0.000
0.000 3.881 0.000
0.000 0.000 7.727
Th Be Rh N
2 2 2 2
Direct
0.250 0.250 0.176
0.750 0.750 0.824
0.250 0.250 0.658
0.750 0.750 0.342
0.250 0.750 0.500
0.750 0.250 0.500
0.250 0.250 0.871
0.750 0.750 0.129
```

***

DFT (PBE-GGA) results for a relaxed structure of YBeRhN.

**Formation energy from raw total energies**: -1.025 eV per atom
**Total energy**: -7.492 eV/atom
**V**: 109.18 Å³ per cell

```
YBeRhN
1.0
3.680 0.000 0.000
0.000 3.680 0.000
0.000 0.000 8.062
Y Be Rh N
2 2 2 2
Direct
0.250 0.250 0.156
0.750 0.750 0.844
0.250 0.250 0.675
0.750 0.750 0.325
0.250 0.750 0.500
0.750 0.250 0.500
0.250 0.250 0.872
0.750 0.750 0.128
```

***

DFT (PBE-GGA) results for a relaxed structure of YBeRhN2.

**Formation energy from raw total energies**: 1.667 eV per atom
**Total energy**: -5.171 eV/atom
**V**: 100.91 Å³ per cell

```
YBeRhN2
1.0
4.315 0.000 0.000
0.000 4.315 0.000
0.000 0.000 5.420
Y Be Rh N
1 1 1 2
Direct
0.000 0.000 0.000
0.500 0.500 0.500
0.000 0.000 0.500
0.000 0.500 0.000
0.500 0.000 0.000
```

***

DFT (PBE-GGA) results for a relaxed structure of Y2BeRhN.

**Formation energy from raw total energies**: -0.881 eV per atom
**Total energy**: -7.348 eV/atom
**V**: 81.24 Å³ per cell

```
Y2BeRhN
1.0
4.893 0.000 0.000
0.000 4.893 0.000
0.000 0.000 3.394
Y Be Rh N
2 1 1 1
Direct
0.000 0.500 0.000
0.500 0.000 0.000
0.000 0.000 0.500
0.500 0.500 0.500
0.000 0.000 0.000
```

***

DFT (PBE-GGA) results for a relaxed structure of BeRuN3.

**Formation energy from raw total energies**: 1.615 eV per atom
**Total energy**: -5.980 eV/atom
**V**: 55.91 Å³ per cell

```
BeRuN3
1.0
3.824 0.000 0.000
0.000 3.824 0.000
0.000 0.000 3.824
Be Ru N
1 1 3
Direct
0.000 0.000 0.000
0.500 0.500 0.500
0.000 0.500 0.500
0.500 0.000 0.500
0.500 0.500 0.000
```

***

DFT (PBE-GGA) results for a relaxed structure of Be2RuN.

**Formation energy from raw total energies**: -0.052 eV per atom
**Total energy**: -6.316 eV/atom
**V**: 71.72 Å³ per cell

```
Be2RuN
1.0
-2.835 2.835 2.231
2.835 -2.835 2.231
2.835 2.835 -2.231
Be Ru N
4 2 2
Direct
0.015 0.625 0.890
0.375 0.265 0.390
0.735 0.125 0.110
0.875 0.985 0.610
0.250 0.750 0.500
0.500 0.500 0.000
0.000 0.000 0.000
0.750 0.250 0.500
```

***

DFT (PBE-GGA) results for a relaxed structure of BeRuN2.

**Formation energy from raw total energies**: 0.588 eV per atom
**Total energy**: -6.825 eV/atom
**V**: 38.56 Å³ per cell

```
BeRuN2
1.0
1.429 0.825 5.451
-1.429 0.825 5.451
0.000 -1.650 5.451
Be Ru N
1 1 2
Direct
0.000 0.000 0.000
0.500 0.500 0.500
0.387 0.387 0.387
0.613 0.613 0.613
```

***

DFT (PBE-GGA) results for a relaxed structure of Be3RuN.

**Formation energy from raw total energies**: -0.028 eV per atom
**Total energy**: -5.783 eV/atom
**Offset from the most stable computed form**: 0 meV per atom
**V**: 43.87 Å³ per cell

```
Be3RuN
1.0
3.527 0.000 0.000
0.000 3.527 0.000
0.000 0.000 3.527
Be Ru N
3 1 1
Direct
0.000 0.000 0.500
0.000 0.500 0.000
0.500 0.000 0.000
0.500 0.500 0.500
0.000 0.000 0.000
```

***

DFT (PBE-GGA) results for a relaxed structure of Be3RuN.

**Formation energy from raw total energies**: 1.722 eV per atom
**Total energy**: -4.034 eV/atom
**Offset from the most stable computed form**: 1749 meV per atom
**V**: 70.31 Å³ per cell

```
Be3RuN
1.0
4.127 0.000 0.000
0.000 4.127 0.000
0.000 0.000 4.127
Be Ru N
3 1 1
Direct
0.000 0.000 0.500
0.000 0.500 0.000
0.500 0.000 0.000
0.000 0.000 0.000
0.500 0.500 0.500
```

***

DFT (PBE-GGA) results for a relaxed structure of BeRuN2.

**Formation energy from raw total energies**: -0.067 eV per atom
**Total energy**: -7.480 eV/atom
**V**: 77.95 Å³ per cell

```
BeRuN2
1.0
-2.176 2.176 4.115
2.176 -2.176 4.115
2.176 2.176 -4.115
Be Ru N
2 2 4
Direct
0.000 0.000 0.000
0.750 0.250 0.500
0.250 0.750 0.500
0.500 0.500 0.000
0.087 0.625 0.962
0.375 0.337 0.462
0.663 0.125 0.038
0.875 0.913 0.538
```

***

DFT (PBE-GGA) results for a relaxed structure of BeRuN2.

**Formation energy from raw total energies**: 0.241 eV per atom
**Total energy**: -7.172 eV/atom
**V**: 43.32 Å³ per cell

```
BeRuN2
1.0
1.539 0.889 5.278
-1.539 0.889 5.278
0.000 -1.777 5.278
Be Ru N
1 1 2
Direct
0.000 0.000 0.000
0.500 0.500 0.500
0.097 0.097 0.097
0.903 0.903 0.903
```

***

DFT (PBE-GGA) results for a relaxed structure of BeRuN.

**Formation energy from raw total energies**: -0.215 eV per atom
**Total energy**: -7.324 eV/atom
**V**: 56.13 Å³ per cell

```
BeRuN
1.0
2.549 -1.396 0.000
2.549 1.396 0.000
-2.377 0.000 7.889
Be Ru N
2 2 2
Direct
0.000 0.000 0.000
0.225 0.225 0.479
0.550 0.550 0.742
0.794 0.794 0.257
0.672 0.672 0.000
0.935 0.935 0.531
```

***

DFT (PBE-GGA) results for a relaxed structure of BeRu2N.

**Formation energy from raw total energies**: 0.324 eV per atom
**Total energy**: -7.327 eV/atom
**Offset from the most stable computed form**: 0 meV per atom
**V**: 94.83 Å³ per cell

```
BeRu2N
1.0
-3.353 3.353 2.109
3.353 -3.353 2.109
3.353 3.353 -2.109
Be Ru N
2 4 2
Direct
0.000 0.000 0.000
0.750 0.250 0.500
0.247 0.625 0.122
0.375 0.497 0.622
0.503 0.125 0.878
0.875 0.753 0.378
0.250 0.750 0.500
0.500 0.500 0.000
```

***

DFT (PBE-GGA) results for a relaxed structure of BeRu2N.

**Formation energy from raw total energies**: 0.751 eV per atom
**Total energy**: -6.900 eV/atom
**Offset from the most stable computed form**: 427 meV per atom
**V**: 41.41 Å³ per cell

```
BeRu2N
1.0
0.000 2.746 2.746
2.746 0.000 2.746
2.746 2.746 0.000
Be Ru N
1 2 1
Direct
0.000 0.000 0.000
0.250 0.250 0.250
0.750 0.750 0.750
0.500 0.500 0.500
```

***

DFT (PBE-GGA) results for a relaxed structure of BeRuSN2.

**Formation energy from raw total energies**: 0.912 eV per atom
**Total energy**: -5.844 eV/atom
**Offset from the most stable computed form**: 0 meV per atom
**V**: 71.79 Å³ per cell

```
BeRuSN2
1.0
3.703 0.000 0.000
0.000 3.703 0.000
0.000 0.000 5.237
Be Ru S N
1 1 1 2
Direct
0.000 0.000 0.000
0.500 0.500 0.500
0.500 0.500 0.000
0.000 0.500 0.500
0.500 0.000 0.500
```

***

Number 1: Fermi-level density of states 0.447 states/eV per atom. Number 2: Fermi-level density of states 0.818 states/eV per atom. Number 3: Fermi-level density of states 0.005 states/eV per atom. Number 4: Fermi-level density of states 0.701 states/eV per atom. Number 5: Fermi-level density of states 0.391 states/eV per atom. Number 6: Fermi-level density of states 0.473 states/eV per atom. Number 7: Fermi-level density of states 0.839 states/eV per atom. Number 8: Fermi-level density of states 0.407 states/eV per atom. Number 9: Fermi-level density of states 0.396 states/eV per atom. Number 10: Fermi-level density of states 0.808 states/eV per atom. Number 11: Fermi-level density of states 0.840 states/eV per atom. Number 12: Fermi-level density of states 0.716 states/eV per atom. Number 13: Fermi-level density of states 0.643 states/eV per atom. Number 14: Fermi-level density of states 0.323 states/eV per atom. Number 15: Fermi-level density of states 0.402 states/eV per atom. Number 16: Fermi-level density of states 0.543 states/eV per atom. Number 17: Fermi-level density of states 0.524 states/eV per atom. Number 18: Fermi-level density of states 1.356 states/eV per atom. Number 19: Fermi-level density of states 0.690 states/eV per atom. Number 20: Fermi-level density of states 0.572 states/eV per atom. Number 21: Fermi-level density of states 0.426 states/eV per atom. Number 22: Fermi-level density of states 0.339 states/eV per atom. Number 23: Fermi-level density of states 0.247 states/eV per atom. Number 24: Fermi-level density of states 0.194 states/eV per atom. Number 25: Fermi-level density of states 0.883 states/eV per atom. Number 26: Fermi-level density of states 0.826 states/eV per atom. Number 27: Fermi-level density of states 0.772 states/eV per atom. Number 28: Fermi-level density of states 0.493 states/eV per atom.